(1)
Density functional theory data (PBE-GGA) for crystalline YCo2TeAu at its relaxed geometry.

Cell lengths 4.640, 4.640, 5.763 Å; angles 90.00, 90.00, 90.00 degrees
Space group P4/mmm (No. 123)
One atom of each set of equivalent atoms:
1 Y 0.000 0.000 0.000 x1
2 Co 0.000 0.500 0.500 x2
3 Te 0.000 0.000 0.500 x1
4 Au 0.500 0.500 0.000 x1

Calculated values
Formation energy without anion corrections, eV/atom: 0.533
Final energy, eV/f.u.: -24.43
N(E_F), states/eV per cell: 8.28

***

(2)
Density functional theory data (PBE-GGA) for crystalline ZrCoTe2Au at its relaxed geometry.

Cell lengths 5.538, 5.538, 4.816 Å; angles 90.00, 90.00, 90.00 degrees
Space group P4/mmm (No. 123)
One atom of each set of equivalent atoms:
1 Zr 0.000 0.000 0.000 x1
2 Co 0.000 0.000 0.500 x1
3 Te 0.000 0.500 0.000 x2
4 Au 0.500 0.500 0.500 x1

Calculated values
Formation energy without anion corrections, eV/atom: 0.719
Final energy, eV/f.u.: -21.62
N(E_F), states/eV per cell: 2.78

***

(3)
Density functional theory data (PBE-GGA) for crystalline ThCoAu at its relaxed geometry.

Cell lengths 6.400, 6.400, 6.400 Å; angles 90.00, 90.00, 90.00 degrees
Space group F-43m (No. 216)
One atom of each set of equivalent atoms:
1 Th 0.000 0.000 0.000 x4
2 Co 0.250 0.250 0.750 x4
3 Au 0.000 0.000 0.500 x4

Calculated values
Final energy, eV/f.u.: -18.66
Formation energy, eV per formula unit: -0.9
N(E_F), states/eV per cell: 5.07

***

(4)
Density functional theory data (PBE-GGA) for crystalline Th3CoAu at its relaxed geometry.

Cell lengths 10.442, 6.537, 8.284 Å; angles 90.00, 113.88, 90.00 degrees
Space group C2/m (No. 12)
One atom of each set of equivalent atoms:
1 Th 0.013 0.000 0.218 x4
2 Th 0.186 0.500 0.870 x4
3 Th 0.201 0.500 0.326 x4
4 Co 0.000 0.300 0.000 x4
5 Au 0.000 0.281 0.500 x4

Calculated values
Energy above the lowest structure with this stoichiometry, meV per atom: 0
Final energy, eV/f.u.: -34.39
Formation energy, eV per formula unit: -1.7
N(E_F), states/eV per cell: 24.02

***

Copy entry 3 word for word.
Density functional theory data (PBE-GGA) for crystalline ThCoAu at its relaxed geometry.

Cell lengths 6.400, 6.400, 6.400 Å; angles 90.00, 90.00, 90.00 degrees
Space group F-43m (No. 216)
One atom of each set of equivalent atoms:
1 Th 0.000 0.000 0.000 x4
2 Co 0.250 0.250 0.750 x4
3 Au 0.000 0.000 0.500 x4

Calculated values
Final energy, eV/f.u.: -18.66
Formation energy, eV per formula unit: -0.9
N(E_F), states/eV per cell: 5.07

***

Question: What is the formula in the third record?
Answer: ThCoAu